[1]
The following is a PBE calculation of crystalline Ta2TlZn at its relaxed geometry, from Alexandria via LeMat-Bulk.

The space group is Cmm2 (No. 35) and the conventional cell measures 3.4216, 4.9534 and 9.1562 Å, with angles of 90.00, 90.00 and 90.00 degrees. The inequivalent atoms are Ta at (0.0000, 0.0000, 0.0000), Ta at (0.0000, 0.5000, 0.2345), Tl at (0.0000, 0.5000, 0.7251) and Zn at (0.0000, 0.0000, 0.4676).

The total magnetization comes out at 0.0 μB per formula unit. For the density of states at the Fermi level, the calculation gives 0.49 states/eV/atom. The final energy comes out at -52.638 eV for the cell shown.

---

[2]
The following is a PBE calculation of crystalline ScMn2Be at its relaxed geometry, from Alexandria via LeMat-Bulk.

The space group is I-4m2 (No. 119) and the conventional cell measures 3.7267, 3.7267 and 7.8892 Å, with angles of 90.00, 90.00 and 90.00 degrees. The inequivalent atoms are Sc at (0.0000, 0.0000, 0.0000), Mn at (0.0000, 0.0000, 0.5000), Mn at (0.0000, 0.5000, 0.7500) and Be at (0.0000, 0.5000, 0.2500).

The total magnetization comes out at 5.1 μB per formula unit. For the density of states at the Fermi level, the calculation gives 0.65 states/eV/atom. The final energy comes out at -55.638 eV for the cell shown.

---

[3]
The following is a PBE calculation of crystalline Na2LiH6Pt at its relaxed geometry, from Alexandria via LeMat-Bulk.

The space group is P-3m1 (No. 164) and the conventional cell measures 5.0943, 5.0943 and 5.0302 Å, with angles of 90.00, 90.00 and 120.00 degrees. The inequivalent atoms are Na at (0.3333, 0.6667, 0.1971), Li at (0.0000, 0.0000, 0.5000), H at (0.1550, 0.3101, 0.7977) and Pt at (0.0000, 0.0000, 0.0000).

The total magnetization comes out at 0.0 μB per formula unit. For the density of states at the Fermi level, the calculation gives 0.14 states/eV/atom. The final energy comes out at -33.782 eV for the cell shown.

---

[4]
The following is a PBE calculation of crystalline Li2Np2AlO6 at its relaxed geometry, from Alexandria via LeMat-Bulk.

The space group is R-3m (No. 166, hexagonal axes) and the conventional cell measures 5.5131, 5.5131 and 14.1528 Å, with angles of 90.00, 90.00 and 120.00 degrees. The inequivalent atoms are Li at (0.0000, 0.0000, 0.0733), Np at (0.0000, 0.0000, 0.2861), Al at (0.0000, 0.0000, 0.5000) and O at (0.0320, 0.5160, 0.2538).

The calculation puts the formation energy (no corrections) at -2285 meV/atom. The total magnetization comes out at 7.0 μB per formula unit. For the density of states at the Fermi level, the calculation gives 1.44 states/eV/atom. The final energy comes out at -265.011 eV for the cell shown.

---

[5]
The following is a PBE calculation of crystalline Dy5Sc2Sn5 at its relaxed geometry, from Alexandria via LeMat-Bulk.

The space group is C2/m (No. 12) and the conventional cell measures 12.3873, 4.6595 and 12.8718 Å, with angles of 90.00, 116.46 and 90.00 degrees. The inequivalent atoms are Dy at (0.0000, 0.0000, 0.0000), Dy at (0.1586, 0.0000, 0.5147), Dy at (0.1827, 0.0000, 0.7930), Sc at (0.0493, 0.5000, 0.2879), Sn at (0.0000, 0.5000, 0.5000), Sn at (0.1443, 0.5000, 0.9428) and Sn at (0.1915, 0.0000, 0.2842).

The total magnetization comes out at 0.0 μB per formula unit. For the density of states at the Fermi level, the calculation gives 0.79 states/eV/atom. The final energy comes out at -123.863 eV for the cell shown.

---

[6]
The following is a PBE calculation of crystalline AcPmPbCl at its relaxed geometry, from Alexandria via LeMat-Bulk.

The space group is F-43m (No. 216) and the conventional cell measures 7.8502, 7.8502 and 7.8502 Å, with angles of 90.00, 90.00 and 90.00 degrees. The inequivalent atoms are Ac at (0.0000, 0.0000, 0.0000), Pm at (0.0000, 0.0000, 0.5000), Pb at (0.2500, 0.2500, 0.2500) and Cl at (0.2500, 0.2500, 0.7500).

The calculation puts the formation energy (no corrections) at -912 meV/atom. The total magnetization comes out at 0.0 μB per formula unit. For the density of states at the Fermi level, the calculation gives 0.63 states/eV/atom. The final energy comes out at -72.250 eV for the cell shown.

---

[7]
The following is a PBE calculation of crystalline Nd3NiGe3 at its relaxed geometry, from Alexandria via LeMat-Bulk.

The space group is C2/m (No. 12) and the conventional cell measures 10.9672, 4.3547 and 14.3309 Å, with angles of 90.00, 110.50 and 90.00 degrees. The inequivalent atoms are Nd at (0.0312, 0.0000, 0.3838), Nd at (0.0989, 0.0000, 0.9210), Nd at (0.2495, 0.0000, 0.2314), Ni at (0.2454, 0.5000, 0.3955), Ge at (0.0475, 0.5000, 0.2385), Ge at (0.1196, 0.5000, 0.0768) and Ge at (0.1543, 0.5000, 0.5413).

The total magnetization comes out at 0.0 μB per formula unit. For the density of states at the Fermi level, the calculation gives 0.96 states/eV/atom. The final energy comes out at -157.618 eV for the cell shown.

---

[8]
The following is a PBE calculation of crystalline LiPmSn2Pt4 at its relaxed geometry, from Alexandria via LeMat-Bulk.

The space group is R-3m (No. 166, hexagonal axes) and the conventional cell measures 4.4832, 4.4832 and 26.0770 Å, with angles of 90.00, 90.00 and 120.00 degrees. The inequivalent atoms are Li at (0.0000, 0.0000, 0.0000), Pm at (0.0000, 0.0000, 0.5000), Sn at (0.0000, 0.0000, 0.2600), Pt at (0.0000, 0.0000, 0.0994) and Pt at (0.0000, 0.0000, 0.3655).

The total magnetization comes out at 0.0 μB per formula unit. For the density of states at the Fermi level, the calculation gives 0.47 states/eV/atom. The final energy comes out at -134.742 eV for the cell shown.

---

Question: Which of these has the highest total magnetization?
Answer: Li2Np2AlO6

---

Question: Look up the total magnetization of the eighth one.
Answer: 0.0 μB per formula unit

---

Question: Look up the final energy of the fourth one.
Answer: -265.011 eV for the cell shown

---

Question: Which of these has the highest final energy?
Answer: Na2LiH6Pt